(1)
Compound: Tb6PmTe8
Source: the Alexandria database
Functional: GGA-PBE
Structure: relaxed

Symmetry: Fm-3m, No. 225
VASP energy: -5.24 eV/atom

a b c (Å): 8.721 8.721 8.721
angles (deg): 60.00 60.00 60.00
Atoms (fractional coordinates):
Tb  0.000  0.000  0.500
Tb  0.000  0.500  0.000
Tb  0.000  0.500  0.500
Tb  0.500  0.000  0.000
Tb  0.500  0.000  0.500
Tb  0.500  0.500  0.000
Pm  0.000  0.000  0.000
Te  0.250  0.250  0.250
Te  0.259  0.259  0.741
Te  0.259  0.741  0.259
Te  0.259  0.741  0.741
Te  0.741  0.259  0.259
Te  0.741  0.259  0.741
Te  0.741  0.741  0.259
Te  0.750  0.750  0.750

(2)
Compound: TbPmTe
Source: the Alexandria database
Functional: GGA-PBE
Structure: relaxed

Symmetry: P3m1, No. 156
VASP energy: -4.68 eV/atom

a b c (Å): 5.200 5.200 4.099
angles (deg): 90.00 90.00 120.00
Atoms (fractional coordinates):
Tb  0.000  0.000  0.000
Pm  0.667  0.333  0.514
Te  0.333  0.667  0.808

(3)
Compound: TbPm2Te2
Source: the Alexandria database
Functional: GGA-PBE
Structure: relaxed

Symmetry: Immm, No. 71
VASP energy: -5.04 eV/atom

a b c (Å): 7.443 7.443 7.443
angles (deg): 148.04 130.34 60.28
Atoms (fractional coordinates):
Tb  0.000  0.000  0.000
Pm  0.360  0.360  0.000
Pm  0.640  0.640  0.000
Te  0.177  0.677  0.500
Te  0.823  0.323  0.500

(4)
Compound: Tb2Pm2Te7
Source: the Alexandria database
Functional: GGA-PBE
Structure: relaxed

Symmetry: Cmmm, No. 65
VASP energy: -4.74 eV/atom

a b c (Å): 7.785 7.785 6.840
angles (deg): 90.00 90.00 92.79
Atoms (fractional coordinates):
Tb  0.235  0.765  0.000
Tb  0.765  0.235  0.000
Pm  0.237  0.237  0.500
Pm  0.763  0.763  0.500
Te  0.000  0.000  0.246
Te  0.000  0.000  0.754
Te  0.000  0.500  0.256
Te  0.000  0.500  0.744
Te  0.500  0.000  0.256
Te  0.500  0.000  0.744
Te  0.500  0.500  0.000

(5)
Compound: Tb3Pm2Te8
Source: the Alexandria database
Functional: GGA-PBE
Structure: relaxed

Symmetry: C2/m, No. 12
VASP energy: -5.02 eV/atom

a b c (Å): 8.913 8.913 7.580
angles (deg): 106.13 106.13 59.11
Atoms (fractional coordinates):
Tb  0.000  0.000  0.000
Tb  0.258  0.742  0.500
Tb  0.742  0.258  0.500
Pm  0.251  0.251  0.831
Pm  0.749  0.749  0.169
Te  0.119  0.119  0.414
Te  0.128  0.633  0.088
Te  0.367  0.872  0.912
Te  0.381  0.381  0.592
Te  0.619  0.619  0.408
Te  0.633  0.128  0.088
Te  0.872  0.367  0.912
Te  0.881  0.881  0.586

(6)
Compound: TbPm4Te7
Source: the Alexandria database
Functional: GGA-PBE
Structure: relaxed

Symmetry: Cm, No. 8
VASP energy: -5.23 eV/atom

a b c (Å): 7.605 7.605 13.391
angles (deg): 103.82 103.82 33.04
Atoms (fractional coordinates):
Tb  0.000  0.000  0.000
Pm  0.115  0.115  0.422
Pm  0.230  0.230  0.849
Pm  0.415  0.415  0.614
Pm  0.815  0.815  0.234
Te  0.078  0.078  0.640
Te  0.151  0.151  0.204
Te  0.377  0.377  0.074
Te  0.453  0.453  0.375
Te  0.613  0.613  0.926
Te  0.776  0.776  0.472
Te  0.859  0.859  0.776

Look up the VASP energy of the first one.
-5.24 eV/atom